# SrPIrO | OQMD via LeMat-Bulk | PBE-GGA | optimized geometry
data_SrPIrO
_chemical_formula_sum 'Sr2 P2 Ir2 O2'
_space_group_name_H-M_alt 'P 4/n m m'
_space_group_IT_number 129
_cell_length_a 4.429
_cell_length_b 4.429
_cell_length_c 6.902
_cell_angle_alpha 90.00
_cell_angle_beta 90.00
_cell_angle_gamma 90.00
loop_
_space_group_symop_operation_xyz
'x,y,z'
'-x,-y,-z'
'-y+1/2,x,z'
'y+1/2,-x,-z'
'-x+1/2,-y+1/2,z'
'x+1/2,y+1/2,-z'
'y,-x+1/2,z'
'-y,x+1/2,-z'
'x+1/2,-y,-z'
'-x+1/2,y,z'
'-y,-x,-z'
'y,x,z'
'-x,y+1/2,-z'
'x,-y+1/2,z'
'y+1/2,x+1/2,-z'
'-y+1/2,-x+1/2,z'
loop_
_atom_site_label
_atom_site_type_symbol
_atom_site_fract_x
_atom_site_fract_y
_atom_site_fract_z
Sr1 Sr 0.250 0.750 0.000
P1 P 0.250 0.250 0.289
Ir1 Ir 0.250 0.250 0.614
O1 O 0.250 0.750 0.500
# **Distance to the lowest polymorph of the same formula**: 1.676 eV per atom
# **Volume**: 135.4 Å³/cell
# **Total magnetization**: 0.01 μB/cell
# **Energy**: -4.917 eV/atom


# SrPIrO | OQMD via LeMat-Bulk | PBE-GGA | optimized geometry
data_SrPIrO
_chemical_formula_sum 'Sr2 P2 Ir2 O2'
_space_group_name_H-M_alt 'P m c 21'
_space_group_IT_number 26
_cell_length_a 3.313
_cell_length_b 7.689
_cell_length_c 5.615
_cell_angle_alpha 90.00
_cell_angle_beta 90.00
_cell_angle_gamma 90.00
loop_
_space_group_symop_operation_xyz
'x,y,z'
'-x,-y,z+1/2'
'-x,y,z'
'x,-y,z+1/2'
loop_
_atom_site_label
_atom_site_type_symbol
_atom_site_fract_x
_atom_site_fract_y
_atom_site_fract_z
Sr1 Sr 0.000 0.168 0.000
P1 P 0.000 0.420 0.499
Ir1 Ir 0.500 0.226 0.500
O1 O 0.500 0.000 0.249
# **Distance to the lowest polymorph of the same formula**: 0.305 eV per atom
# **Volume**: 143.0 Å³/cell
# **Total magnetization**: 0.00 μB/cell
# **Energy**: -6.288 eV/atom


# SrPIrO | OQMD via LeMat-Bulk | PBE-GGA | optimized geometry
data_SrPIrO
_chemical_formula_sum 'Sr2 P2 Ir2 O2'
_space_group_name_H-M_alt 'P 4/n m m'
_space_group_IT_number 129
_cell_length_a 4.383
_cell_length_b 4.383
_cell_length_c 6.950
_cell_angle_alpha 90.00
_cell_angle_beta 90.00
_cell_angle_gamma 90.00
loop_
_space_group_symop_operation_xyz
'x,y,z'
'-x,-y,-z'
'-y+1/2,x,z'
'y+1/2,-x,-z'
'-x+1/2,-y+1/2,z'
'x+1/2,y+1/2,-z'
'y,-x+1/2,z'
'-y,x+1/2,-z'
'x+1/2,-y,-z'
'-x+1/2,y,z'
'-y,-x,-z'
'y,x,z'
'-x,y+1/2,-z'
'x,-y+1/2,z'
'y+1/2,x+1/2,-z'
'-y+1/2,-x+1/2,z'
loop_
_atom_site_label
_atom_site_type_symbol
_atom_site_fract_x
_atom_site_fract_y
_atom_site_fract_z
Sr1 Sr 0.250 0.750 0.000
P1 P 0.250 0.250 0.293
Ir1 Ir 0.250 0.250 0.621
O1 O 0.250 0.750 0.500
# **Distance to the lowest polymorph of the same formula**: 1.677 eV per atom
# **Volume**: 133.5 Å³/cell
# **Total magnetization**: 0.01 μB/cell
# **Energy**: -4.917 eV/atom


Copy entry 3 word for word.
# SrPIrO | OQMD via LeMat-Bulk | PBE-GGA | optimized geometry
data_SrPIrO
_chemical_formula_sum 'Sr2 P2 Ir2 O2'
_space_group_name_H-M_alt 'P 4/n m m'
_space_group_IT_number 129
_cell_length_a 4.383
_cell_length_b 4.383
_cell_length_c 6.950
_cell_angle_alpha 90.00
_cell_angle_beta 90.00
_cell_angle_gamma 90.00
loop_
_space_group_symop_operation_xyz
'x,y,z'
'-x,-y,-z'
'-y+1/2,x,z'
'y+1/2,-x,-z'
'-x+1/2,-y+1/2,z'
'x+1/2,y+1/2,-z'
'y,-x+1/2,z'
'-y,x+1/2,-z'
'x+1/2,-y,-z'
'-x+1/2,y,z'
'-y,-x,-z'
'y,x,z'
'-x,y+1/2,-z'
'x,-y+1/2,z'
'y+1/2,x+1/2,-z'
'-y+1/2,-x+1/2,z'
loop_
_atom_site_label
_atom_site_type_symbol
_atom_site_fract_x
_atom_site_fract_y
_atom_site_fract_z
Sr1 Sr 0.250 0.750 0.000
P1 P 0.250 0.250 0.293
Ir1 Ir 0.250 0.250 0.621
O1 O 0.250 0.750 0.500
# **Distance to the lowest polymorph of the same formula**: 1.677 eV per atom
# **Volume**: 133.5 Å³/cell
# **Total magnetization**: 0.01 μB/cell
# **Energy**: -4.917 eV/atom


Repeat the first record exactly.
# SrPIrO | OQMD via LeMat-Bulk | PBE-GGA | optimized geometry
data_SrPIrO
_chemical_formula_sum 'Sr2 P2 Ir2 O2'
_space_group_name_H-M_alt 'P 4/n m m'
_space_group_IT_number 129
_cell_length_a 4.429
_cell_length_b 4.429
_cell_length_c 6.902
_cell_angle_alpha 90.00
_cell_angle_beta 90.00
_cell_angle_gamma 90.00
loop_
_space_group_symop_operation_xyz
'x,y,z'
'-x,-y,-z'
'-y+1/2,x,z'
'y+1/2,-x,-z'
'-x+1/2,-y+1/2,z'
'x+1/2,y+1/2,-z'
'y,-x+1/2,z'
'-y,x+1/2,-z'
'x+1/2,-y,-z'
'-x+1/2,y,z'
'-y,-x,-z'
'y,x,z'
'-x,y+1/2,-z'
'x,-y+1/2,z'
'y+1/2,x+1/2,-z'
'-y+1/2,-x+1/2,z'
loop_
_atom_site_label
_atom_site_type_symbol
_atom_site_fract_x
_atom_site_fract_y
_atom_site_fract_z
Sr1 Sr 0.250 0.750 0.000
P1 P 0.250 0.250 0.289
Ir1 Ir 0.250 0.250 0.614
O1 O 0.250 0.750 0.500
# **Distance to the lowest polymorph of the same formula**: 1.676 eV per atom
# **Volume**: 135.4 Å³/cell
# **Total magnetization**: 0.01 μB/cell
# **Energy**: -4.917 eV/atom